Here is an optimized crystal structure of LaMo2AuO from Alexandria via LeMat-Bulk. Energies are from GGA+U.

Unit cell a=4.361 b=6.017 c=4.361 alpha=90.00 beta=90.00 gamma=90.00
Last column: magnetic moment on the atom in μB.
Atoms (fractional coordinates):
Mo1 0.000 0.000 0.500  3.25
Mo2 0.500 0.000 0.000  3.23
O1 0.000 0.000 0.000  0.06
Au1 0.000 0.500 0.000  0.03
La1 0.500 0.500 0.500  -0.14

## Properties
Energy in eV/cell: -26.9
SG: No. 123
ρ in Mg/m³: 7.9